Record 1
A plane-wave DFT calculation with GGA-PBE was carried out for a relaxed PmCo2Ni4 crystal.

a b c (Å): 7.865 6.250 4.783
angles (deg): 90.00 127.34 90.00
Space group C2/m (No. 12)
One atom of each set of equivalent atoms:
Pm (0.000, 0.000, 0.000)
Co (0.000, 0.500, 0.250)
Ni (0.194, 0.194, 0.694)

Output
Spin magnetization   4.6 μB per formula unit
Crystal system   monoclinic
E   -6.122 eV per atom
Fermi-level density of states   22.23 states/eV per cell

Record 2
A plane-wave DFT calculation with GGA-PBE was carried out for a relaxed Pm8Co2Ni crystal.

a b c (Å): 8.568 11.822 6.429
angles (deg): 90.00 109.59 90.00
Space group Cm (No. 8)
One atom of each set of equivalent atoms:
Pm (0.000, 0.000, 0.000)
Pm (0.078, 0.361, 0.830)
Pm (0.151, 0.141, 0.568)
Pm (0.229, 0.500, 0.421)
Pm (0.361, 0.188, 0.194)
Co (0.368, 0.315, 0.714)
Ni (0.374, 0.000, 0.440)

Output
Spin magnetization   0.0 μB per formula unit
Crystal system   monoclinic
Energy relative to the lowest polymorph listed for this composition   41 meV/atom
Fermi-level density of states   20.66 states/eV per cell